*a*
DFT (PBE) results for a geometry-optimized Er4AlIr structure.

a b c (Å): 13.3802 13.3802 13.3802
angles (deg): 90.00 90.00 90.00
With the nearest neighbours (Å) after each atom.
Space group F-43m (No. 216)
Inequivalent atoms, fractional coordinates:
Er  0.0000  0.0000  0.1883 [24 per cell]  2 Al 3.26, 10 Er 3.41-3.56, 2 Ir 3.41
Er  0.0545  0.2500  0.7500 [24 per cell]  2 Ir 2.77
Er  0.1019  0.1019  0.3981 [16 per cell]  3 Ir 2.82
Al  0.1718  0.1718  0.1718 [16 per cell]  3 Al 2.96, 6 Er 3.26-3.30
Ir  0.1088  0.1088  0.6088 [16 per cell]  6 Er 2.77-2.82

Computed properties:
**V**: 24.95 Å³/atom

*b*
DFT (PBE) results for a geometry-optimized Er4AlIr structure.

a b c (Å): 8.5683 12.9117 5.9418
angles (deg): 90.00 108.09 90.00
With the nearest neighbours (Å) after each atom.
Space group C2/c (No. 15)
Inequivalent atoms, fractional coordinates:
Er  0.1107  0.1729  0.0507 [8 per cell]  2 Ir 2.82-2.83, 1 Al 3.15
Er  0.2116  0.4253  0.3844 [8 per cell]  2 Ir 2.90-2.98, 1 Al 3.10
Al  0.0000  0.3758  0.7500 [4 per cell]  8 Er 3.10-3.30
Ir  0.0000  0.0001  0.2500 [4 per cell]  8 Er 2.82-2.98, 2 Ir 2.97

Computed properties:
**V**: 26.04 Å³/atom

Stability ranking, top and bottom: *a* is the most stable and *b* is the least stable.

*a*
DFT (PBE) results for a geometry-optimized LaErAl structure.

a b c (Å): 3.5614 3.5614 23.7524
angles (deg): 90.00 90.00 120.00
With the nearest neighbours (Å) after each atom.
Space group R3m (No. 160, hexagonal axes)
Inequivalent atoms, fractional coordinates:
La  0.0000  0.0000  0.0000 [3 per cell]  3 Al 3.31, 6 La 3.56, 3 Er 3.66
Er  0.0000  0.0000  0.7939 [3 per cell]  3 Al 3.09
Al  0.0000  0.0000  0.2243 [3 per cell]  3 Er 3.09, 3 La 3.31

Computed properties:
**V**: 29.00 Å³/atom

*b*
DFT (PBE) results for a geometry-optimized LaErAl structure.

a b c (Å): 3.5183 3.5183 13.7609
angles (deg): 90.00 90.00 90.00
With the nearest neighbours (Å) after each atom.
Space group I4mm (No. 107)
Inequivalent atoms, fractional coordinates:
La  0.0000  0.0000  0.0000 [2 per cell]  4 Al 3.29, 4 La 3.52
Er  0.0000  0.0000  0.2918 [2 per cell]  4 Al 3.10
Al  0.0000  0.0000  0.6569 [2 per cell]  4 Er 3.10, 4 La 3.29

Computed properties:
**V**: 28.39 Å³/atom

*c*
DFT (PBE) results for a geometry-optimized LaErAl structure.

a b c (Å): 5.1414 5.1414 3.7030
angles (deg): 90.00 90.00 120.00
With the nearest neighbours (Å) after each atom.
Space group P3m1 (No. 156)
Inequivalent atoms, fractional coordinates:
La  0.0000  0.0000  0.0000 [1 per cell]  3 Al 3.28, 6 Er 3.38-3.63
Er  0.3333  0.6667  0.4361 [1 per cell]  3 Al 3.05, 3 La 3.38
Al  0.6667  0.3333  0.6217 [1 per cell]  3 Er 3.05, 3 La 3.28

Computed properties:
**V**: 28.26 Å³/atom

*d*
DFT (PBE) results for a geometry-optimized LaErAl structure.

a b c (Å): 6.7107 6.7108 7.9978
angles (deg): 90.00 90.34 90.00
With the nearest neighbours (Å) after each atom.
Space group C2/m (No. 12)
Inequivalent atoms, fractional coordinates:
La  0.2481  0.0000  0.1476 [4 per cell]  5 Al 3.20-3.47
Er  0.0000  0.2500  0.5000 [4 per cell]  4 Al 3.09, 4 Er 3.35-3.36
Al  0.2479  0.5000  0.2530 [4 per cell]  4 Er 3.09, 2 La 3.20-3.45

Computed properties:
**V**: 30.01 Å³/atom

Stability ranking, top and bottom: *b* is the most stable and *a* is the least stable.

*a*
DFT (PBE) results for a geometry-optimized La3ErAl8 structure.

a b c (Å): 5.6926 5.6926 27.9893
angles (deg): 90.00 90.00 120.00
With the nearest neighbours (Å) after each atom.
Space group R3m (No. 160, hexagonal axes)
Inequivalent atoms, fractional coordinates:
La  0.0000  0.0000  0.0000 [3 per cell]  12 Al 3.34-3.38, 4 La 3.48-3.50
La  0.0000  0.0000  0.1251 [3 per cell]  12 Al 3.31-3.34, 3 Er 3.49, 1 La 3.50
La  0.0000  0.0000  0.6260 [3 per cell]  12 Al 3.33-3.38, 3 La 3.48, 1 Er 3.51
Er  0.0000  0.0000  0.5006 [3 per cell]  12 Al 3.31-3.34, 4 La 3.49-3.51
Al  0.0000  0.0000  0.3124 [3 per cell]  6 Al 2.88-2.90
Al  0.0000  0.0000  0.8133 [3 per cell]  6 Al 2.81-2.83
Al  0.0013  0.5007  0.0646 [9 per cell]  6 Al 2.83-2.90
Al  0.1672  0.3345  0.8946 [9 per cell]  6 Al 2.81-2.88

Computed properties:
**V**: 21.82 Å³/atom

*b*
DFT (PBE) results for a geometry-optimized La3ErAl8 structure.

a b c (Å): 5.6964 5.6964 9.3664
angles (deg): 90.00 90.00 120.00
With the nearest neighbours (Å) after each atom.
Space group P3m1 (No. 156)
Inequivalent atoms, fractional coordinates:
La  0.0000  0.0000  0.0000 [1 per cell]  12 Al 3.33-3.44, 4 La 3.39-3.53
La  0.0000  0.0000  0.3621 [1 per cell]  12 Al 3.30-3.35, 1 La 3.39, 3 Er 3.53
La  0.3333  0.6667  0.8640 [1 per cell]  12 Al 3.34-3.40, 1 Er 3.42, 3 La 3.53
Er  0.3333  0.6667  0.4986 [1 per cell]  12 Al 3.29-3.35, 4 La 3.42-3.53
Al  0.0095  0.5048  0.1848 [3 per cell]  6 Al 2.77-2.95
Al  0.3248  0.1624  0.6748 [3 per cell]  6 Al 2.78-2.92
Al  0.6667  0.3333  0.4318 [1 per cell]  6 Al 2.83-2.87
Al  0.6667  0.3333  0.9261 [1 per cell]  6 Al 2.90-2.95

Computed properties:
**V**: 21.93 Å³/atom

Stability ranking, top and bottom: *a* is the most stable and *b* is the least stable.

*a*
DFT (PBE) results for a geometry-optimized LaPmErAl structure.

a b c (Å): 3.5601 3.5601 9.3026
angles (deg): 90.00 90.00 90.00
With the nearest neighbours (Å) after each atom.
Space group P4mm (No. 99)
Inequivalent atoms, fractional coordinates:
La  0.0000  0.0000  0.0000 [1 per cell]  4 La 3.56, 4 Er 3.65, 4 Pm 3.78
Pm  0.5000  0.5000  0.6968 [1 per cell]  4 Al 3.21, 4 Pm 3.56
Er  0.5000  0.5000  0.2839 [1 per cell]  4 Al 3.12
Al  0.0000  0.0000  0.4821 [1 per cell]  4 Er 3.12, 4 Pm 3.21

Computed properties:
**V**: 29.48 Å³/atom

*b*
DFT (PBE) results for a geometry-optimized LaPmErAl structure.

a b c (Å): 7.7394 7.7394 7.7394
angles (deg): 90.00 90.00 90.00
With the nearest neighbours (Å) after each atom.
Space group F-43m (No. 216)
Inequivalent atoms, fractional coordinates:
La  0.0000  0.0000  0.0000 [4 per cell]  4 Er 3.35, 4 Al 3.35
Pm  0.0000  0.0000  0.5000 [4 per cell]  4 Er 3.35, 4 Al 3.35
Er  0.2500  0.2500  0.2500 [4 per cell]  4 Pm 3.35, 4 La 3.35
Al  0.2500  0.2500  0.7500 [4 per cell]  4 La 3.35, 4 Pm 3.35

Computed properties:
**V**: 28.97 Å³/atom

Stability ranking, top and bottom: *a* is the most stable and *b* is the least stable.

*a*
DFT (PBE) results for a geometry-optimized LaSmErAl structure.

a b c (Å): 7.7257 7.7257 7.7257
angles (deg): 90.00 90.00 90.00
With the nearest neighbours (Å) after each atom.
Space group F-43m (No. 216)
Inequivalent atoms, fractional coordinates:
La  0.0000  0.0000  0.0000 [4 per cell]  4 Al 3.35, 4 Er 3.35
Sm  0.0000  0.0000  0.5000 [4 per cell]  4 Er 3.35, 4 Al 3.35
Er  0.2500  0.2500  0.7500 [4 per cell]  4 La 3.35, 4 Sm 3.35
Al  0.2500  0.2500  0.2500 [4 per cell]  4 La 3.35, 4 Sm 3.35

Computed properties:
**V**: 28.82 Å³/atom

*b*
DFT (PBE) results for a geometry-optimized LaSmErAl structure.

a b c (Å): 3.5548 3.5548 9.2849
angles (deg): 90.00 90.00 90.00
With the nearest neighbours (Å) after each atom.
Space group P4mm (No. 99)
Inequivalent atoms, fractional coordinates:
La  0.0000  0.0000  0.0000 [1 per cell]  4 La 3.55, 4 Er 3.65, 4 Sm 3.77
Sm  0.5000  0.5000  0.6978 [1 per cell]  4 Al 3.20, 4 Sm 3.55
Er  0.5000  0.5000  0.2855 [1 per cell]  4 Al 3.12
Al  0.0000  0.0000  0.4846 [1 per cell]  4 Er 3.12, 4 Sm 3.20

Computed properties:
**V**: 29.33 Å³/atom

Stability ranking, top and bottom: *b* is the most stable and *a* is the least stable.

*a*
DFT (PBE) results for a geometry-optimized LaTbErAl structure.

a b c (Å): 7.6850 7.6850 7.6850
angles (deg): 90.00 90.00 90.00
With the nearest neighbours (Å) after each atom.
Space group F-43m (No. 216)
Inequivalent atoms, fractional coordinates:
La  0.0000  0.0000  0.0000 [4 per cell]  4 Er 3.33, 4 Al 3.33
Tb  0.0000  0.0000  0.5000 [4 per cell]  4 Er 3.33, 4 Al 3.33
Er  0.2500  0.2500  0.7500 [4 per cell]  4 Tb 3.33, 4 La 3.33
Al  0.2500  0.2500  0.2500 [4 per cell]  4 Tb 3.33, 4 La 3.33

Computed properties:
**V**: 28.37 Å³/atom

*b*
DFT (PBE) results for a geometry-optimized LaTbErAl structure.

a b c (Å): 3.5417 3.5417 9.1953
angles (deg): 90.00 90.00 90.00
With the nearest neighbours (Å) after each atom.
Space group P4mm (No. 99)
Inequivalent atoms, fractional coordinates:
La  0.0000  0.0000  0.0000 [1 per cell]  4 La 3.54, 4 Er 3.66, 4 Tb 3.72
Tb  0.5000  0.5000  0.7016 [1 per cell]  4 Al 3.15
Er  0.5000  0.5000  0.2910 [1 per cell]  4 Al 3.12
Al  0.0000  0.0000  0.4932 [1 per cell]  4 Er 3.12, 4 Tb 3.15

Computed properties:
**V**: 28.84 Å³/atom

Stability ranking, top and bottom: *b* is the most stable and *a* is the least stable.

*a*
DFT (PBE) results for a geometry-optimized LaErTmAl structure.

a b c (Å): 7.6385 7.6385 7.6385
angles (deg): 90.00 90.00 90.00
With the nearest neighbours (Å) after each atom.
Space group F-43m (No. 216)
Inequivalent atoms, fractional coordinates:
La  0.0000  0.0000  0.0000 [4 per cell]  4 Al 3.31, 4 Tm 3.31
Er  0.0000  0.0000  0.5000 [4 per cell]  4 Tm 3.31, 4 Al 3.31
Tm  0.2500  0.2500  0.7500 [4 per cell]  4 La 3.31, 4 Er 3.31
Al  0.2500  0.2500  0.2500 [4 per cell]  4 La 3.31, 4 Er 3.31

Computed properties:
**V**: 27.86 Å³/atom

*b*
DFT (PBE) results for a geometry-optimized LaErTmAl structure.

a b c (Å): 3.5231 3.5231 9.1311
angles (deg): 90.00 90.00 90.00
With the nearest neighbours (Å) after each atom.
Space group P4mm (No. 99)
Inequivalent atoms, fractional coordinates:
La  0.0000  0.0000  0.0000 [1 per cell]  4 La 3.52, 4 Tm 3.66, 4 Er 3.69
Er  0.5000  0.5000  0.7026 [1 per cell]  4 Al 3.12
Tm  0.5000  0.5000  0.2942 [1 per cell]  4 Al 3.11
Al  0.0000  0.0000  0.4973 [1 per cell]  4 Tm 3.11, 4 Er 3.12

Computed properties:
**V**: 28.33 Å³/atom

Stability ranking, top and bottom: *b* is the most stable and *a* is the least stable.

*a*
DFT (PBE) results for a geometry-optimized LaYErAl structure.

a b c (Å): 3.5494 3.5494 9.1566
angles (deg): 90.00 90.00 90.00
With the nearest neighbours (Å) after each atom.
Space group P4mm (No. 99)
Inequivalent atoms, fractional coordinates:
La  0.0000  0.0000  0.0000 [1 per cell]  4 La 3.55, 4 Er 3.66, 4 Y 3.72
Y  0.5000  0.5000  0.7000 [1 per cell]  4 Al 3.14
Er  0.5000  0.5000  0.2908 [1 per cell]  4 Al 3.12
Al  0.0000  0.0000  0.4930 [1 per cell]  4 Er 3.12, 4 Y 3.14

Computed properties:
**V**: 28.84 Å³/atom

*b*
DFT (PBE) results for a geometry-optimized LaYErAl structure.

a b c (Å): 7.6890 7.6890 7.6890
angles (deg): 90.00 90.00 90.00
With the nearest neighbours (Å) after each atom.
Space group F-43m (No. 216)
Inequivalent atoms, fractional coordinates:
La  0.0000  0.0000  0.0000 [4 per cell]  4 Al 3.33, 4 Er 3.33
Y  0.0000  0.0000  0.5000 [4 per cell]  4 Er 3.33, 4 Al 3.33
Er  0.2500  0.2500  0.7500 [4 per cell]  4 La 3.33, 4 Y 3.33
Al  0.2500  0.2500  0.2500 [4 per cell]  4 La 3.33, 4 Y 3.33

Computed properties:
**V**: 28.41 Å³/atom

Stability ranking, top and bottom: *a* is the most stable and *b* is the least stable.